(1)
First-principles (PBE) data for an optimized crystal structure of Tb4Sm3In4, as listed in the Alexandria database.

Properties
The density of states at the Fermi level is 11.487 states/eV/cell. The calculation puts the volume at 330.7 Å³/cell. Its crystal system is orthorhombic. For the calculated formation energy, the calculation gives -0.27 eV per atom. Its space-group type is Immm (71). The total energy is -46.63 eV for the cell shown.

Unit cell a=9.920 b=9.920 c=9.920 alpha=148.87 beta=138.78 gamma=52.54
Sites, in units of the cell vectors:
Tb  0.057  0.821  0.236
Tb  0.416  0.179  0.236
Tb  0.584  0.821  0.764
Tb  0.943  0.179  0.764
Sm  0.000  0.500  0.500
Sm  0.399  0.399  0.000
Sm  0.601  0.601  0.000
In  0.174  0.674  0.500
In  0.284  0.000  0.284
In  0.716  0.000  0.716
In  0.826  0.326  0.500

***

(2)
First-principles (PBE) data for an optimized crystal structure of TbSmIn4, as listed in the Alexandria database.

Properties
For the energy above the lowest structure with this stoichiometry, the calculation gives 0.000 eV/atom. The density of states at the Fermi level is 4.026 states/eV/cell. The calculation puts the volume at 154.8 Å³/cell. Its crystal system is cubic. For the calculated formation energy, the calculation gives -0.37 eV per atom. Its space-group type is F-43m (216). The total energy is -22.54 eV for the cell shown.

Unit cell a=6.027 b=6.027 c=6.027 alpha=60.00 beta=60.00 gamma=60.00
Sites, in units of the cell vectors:
Tb  0.000  0.000  0.000
Sm  0.750  0.750  0.750
In  0.375  0.375  0.375
In  0.375  0.375  0.875
In  0.375  0.875  0.375
In  0.875  0.375  0.375

***

(3)
First-principles (PBE) data for an optimized crystal structure of TbSm6In5, as listed in the Alexandria database.

Properties
For the energy above the lowest structure with this stoichiometry, the calculation gives 0.000 eV/atom. The density of states at the Fermi level is 11.931 states/eV/cell. The calculation puts the volume at 345.0 Å³/cell. Its crystal system is orthorhombic. For the calculated formation energy, the calculation gives -0.39 eV per atom. Its space-group type is Immm (71). The total energy is -51.37 eV for the cell shown.

Unit cell a=9.189 b=9.189 c=9.189 alpha=148.19 beta=121.29 gamma=68.33
Sites, in units of the cell vectors:
Tb  0.000  0.000  0.000
Sm  0.091  0.829  0.262
Sm  0.268  0.500  0.768
Sm  0.432  0.171  0.262
Sm  0.568  0.829  0.738
Sm  0.732  0.500  0.232
Sm  0.909  0.171  0.738
In  0.153  0.653  0.500
In  0.326  0.326  0.000
In  0.500  0.000  0.500
In  0.674  0.674  0.000
In  0.847  0.347  0.500

***

(4)
First-principles (PBE) data for an optimized crystal structure of Tb4Sm5In, as listed in the Alexandria database.

Properties
For the energy above the lowest structure with this stoichiometry, the calculation gives 0.000 eV/atom. The density of states at the Fermi level is 17.841 states/eV/cell. The calculation puts the volume at 318.9 Å³/cell. Its crystal system is tetragonal. For the calculated formation energy, the calculation gives 0.00 eV per atom. Its space-group type is P4/mmm (123). The total energy is -44.81 eV for the cell shown.

Unit cell a=4.182 b=4.182 c=18.227 alpha=90.00 beta=90.00 gamma=90.00
Sites, in units of the cell vectors:
Tb  0.000  0.000  0.102
Tb  0.000  0.000  0.304
Tb  0.000  0.000  0.696
Tb  0.000  0.000  0.898
Sm  0.500  0.500  0.000
Sm  0.500  0.500  0.204
Sm  0.500  0.500  0.410
Sm  0.500  0.500  0.590
Sm  0.500  0.500  0.796
In  0.000  0.000  0.500

***

(5)
First-principles (PBE) data for an optimized crystal structure of Tb8SmIn2, as listed in the Alexandria database.

Properties
The density of states at the Fermi level is 16.252 states/eV/cell. The calculation puts the volume at 348.4 Å³/cell. Its crystal system is monoclinic. For the calculated formation energy, the calculation gives -0.05 eV per atom. Its space-group type is C2/m (12). The total energy is -47.76 eV for the cell shown.

Unit cell a=9.160 b=9.160 c=6.288 alpha=102.26 beta=102.26 gamma=42.69
Sites, in units of the cell vectors:
Tb  0.084  0.084  0.424
Tb  0.148  0.652  0.036
Tb  0.277  0.277  0.333
Tb  0.348  0.852  0.964
Tb  0.652  0.148  0.036
Tb  0.723  0.723  0.667
Tb  0.852  0.348  0.964
Tb  0.916  0.916  0.576
Sm  0.500  0.500  0.500
In  0.244  0.244  0.809
In  0.756  0.756  0.191

***

(6)
First-principles (PBE) data for an optimized crystal structure of Tb8SmIn6, as listed in the Alexandria database.

Properties
The density of states at the Fermi level is 22.447 states/eV/cell. The calculation puts the volume at 465.3 Å³/cell. Its crystal system is trigonal. For the calculated formation energy, the calculation gives -0.22 eV per atom. Its space-group type is R-3 (148). The total energy is -61.50 eV for the cell shown.

Unit cell a=8.358 b=8.358 c=8.358 alpha=65.87 beta=65.87 gamma=65.87
Sites, in units of the cell vectors:
Tb  0.054  0.720  0.386
Tb  0.167  0.167  0.167
Tb  0.280  0.614  0.946
Tb  0.386  0.054  0.720
Tb  0.614  0.946  0.280
Tb  0.720  0.386  0.054
Tb  0.833  0.833  0.833
Tb  0.946  0.280  0.614
Sm  0.500  0.500  0.500
In  0.106  0.441  0.778
In  0.222  0.894  0.559
In  0.441  0.778  0.106
In  0.559  0.222  0.894
In  0.778  0.106  0.441
In  0.894  0.559  0.222

***

(7)
First-principles (PBE) data for an optimized crystal structure of Tb3Sm3In2, as listed in the Alexandria database.

Properties
For the energy above the lowest structure with this stoichiometry, the calculation gives 0.111 eV/atom. The density of states at the Fermi level is 16.212 states/eV/cell. The calculation puts the volume at 499.4 Å³/cell. Its crystal system is orthorhombic. For the calculated formation energy, the calculation gives -0.16 eV per atom. Its space-group type is Cmcm (63). The total energy is -69.58 eV for the cell shown.

Unit cell a=6.533 b=6.533 c=15.909 alpha=90.00 beta=90.00 gamma=132.65
Sites, in units of the cell vectors:
Tb  0.040  0.960  0.750
Tb  0.142  0.858  0.032
Tb  0.142  0.858  0.468
Tb  0.858  0.142  0.532
Tb  0.858  0.142  0.968
Tb  0.960  0.040  0.250
Sm  0.240  0.760  0.250
Sm  0.461  0.539  0.105
Sm  0.461  0.539  0.395
Sm  0.539  0.461  0.605
Sm  0.539  0.461  0.895
Sm  0.760  0.240  0.750
In  0.271  0.729  0.640
In  0.271  0.729  0.860
In  0.729  0.271  0.140
In  0.729  0.271  0.360

***

(8)
First-principles (PBE) data for an optimized crystal structure of Tb2Sm12In, as listed in the Alexandria database.

Properties
The density of states at the Fermi level is 41.543 states/eV/cell. The calculation puts the volume at 1014.9 Å³/cell. Its crystal system is orthorhombic. For the calculated formation energy, the calculation gives 0.09 eV per atom. Its space-group type is Cmme (67). The total energy is -134.43 eV for the cell shown.

Unit cell a=6.786 b=6.786 c=24.407 alpha=90.00 beta=90.00 gamma=115.46
Sites, in units of the cell vectors:
Tb  0.250  0.750  0.240
Tb  0.250  0.750  0.765
Tb  0.750  0.250  0.235
Tb  0.750  0.250  0.760
Sm  0.001  0.501  0.620
Sm  0.001  0.999  0.428
Sm  0.019  0.519  0.087
Sm  0.024  0.976  0.939
Sm  0.250  0.250  0.177
Sm  0.250  0.250  0.305
Sm  0.250  0.250  0.695
Sm  0.250  0.250  0.823
Sm  0.476  0.524  0.939
Sm  0.481  0.981  0.087
Sm  0.499  0.501  0.428
Sm  0.499  0.999  0.620
Sm  0.501  0.001  0.380
Sm  0.501  0.499  0.572
Sm  0.519  0.019  0.913
Sm  0.524  0.476  0.061
Sm  0.750  0.750  0.177
Sm  0.750  0.750  0.305
Sm  0.750  0.750  0.695
Sm  0.750  0.750  0.823
Sm  0.976  0.024  0.061
Sm  0.981  0.481  0.913
Sm  0.999  0.001  0.572
Sm  0.999  0.499  0.380
In  0.250  0.750  0.500
In  0.750  0.250  0.500